RbTl2Br | Alexandria | PBE | optimized geometry; energy relative to the elements, uncorrected = -0.205 eV/atom; SG = No. 225; density of states at the Fermi level = 5.3 states/eV/f.u.
1.0
-4.7091 -3.4284 -1.4012
-3.5991 -2.0586 4.3246
-5.5566 2.1695 0.5582
Tl Br Rb
2 1 1
Direct
0.2500 0.2500 0.2500
0.7500 0.7500 0.7500
0.0000 0.0000 0.0000
0.5000 0.5000 0.5000

***

K3Pt | Alexandria | PBE | optimized geometry; calculated formation energy = 0.346 eV per formula unit; SG = No. 221; density of states at the Fermi level = 2.6 states/eV/f.u.
1.0
-2.2314 -2.8604 -5.1058
2.6782 -5.3576 1.8311
-5.2037 -1.5309 3.1318
K Pt
3 1
Direct
0.0000 0.0000 0.5000
0.0000 0.5000 0.0000
0.5000 0.0000 0.0000
0.0000 0.0000 0.0000

***

SmAgHg3 | Alexandria | PBE | optimized geometry; calculated formation energy = -1.184 eV per formula unit; SG = No. 62; density of states at the Fermi level = 2.1 states/eV/f.u.
1.0
5.0042 0.0000 0.0000
0.0000 9.7043 0.0000
0.0000 0.0000 9.8962
Sm Ag Hg
4 4 12
Direct
0.7500 0.7517 0.0027
0.2500 0.7483 0.5027
0.7500 0.2517 0.4973
0.2500 0.2483 0.9973
0.2500 0.1275 0.6717
0.2500 0.6275 0.8283
0.7500 0.3725 0.1717
0.7500 0.8725 0.3283
0.2500 0.5635 0.1115
0.7500 0.4365 0.8885
0.2500 0.0635 0.3885
0.7500 0.9365 0.6115
0.2500 0.4200 0.6305
0.7500 0.0800 0.1305
0.2500 0.9200 0.8695
0.7500 0.6373 0.6727
0.2500 0.3627 0.3273
0.7500 0.1373 0.8273
0.7500 0.5800 0.3695
0.2500 0.8627 0.1727

***

Er4GeSb2P | Alexandria | PBE | optimized geometry; energy relative to the elements, uncorrected = -1.090 eV/atom; SG = No. 10; density of states at the Fermi level = 3.3 states/eV/f.u.
1.0
4.1283 0.0000 0.0000
0.0000 7.2418 0.1458
0.0000 -2.5112 6.9231
Er Ge Sb P
4 1 2 1
Direct
0.5000 0.2371 0.2234
0.5000 0.7629 0.7766
0.0000 0.2529 0.7720
0.0000 0.7471 0.2280
0.5000 0.5000 0.0000
0.5000 0.0000 0.5000
0.0000 0.5000 0.5000
0.0000 0.0000 0.0000

***

Ordered magnetization results: 0.0; 0.6; 0.0; 0.0; unit μB/f.u..
Ordered E results: -2.048; -2.247; -1.932; -5.655; unit eV/atom.